Below is a relaxed structure of Li8NpTe6, with properties calculated at the GGA-PBE level.

Values from the calculation:
* calculated volume: 380 Å³/cell
* M_tot: 3.0 μB per formula unit
* raw total energy: -4.06 eV/atom
* N(E_F): 5.4 states/eV/f.u.

The structure in POSCAR format:
```
Li8NpTe6
1.0
6.902 0.000 3.622
2.501 6.433 3.622
-0.061 -0.042 8.503
Li Np Te
8 1 6
Direct
0.534 0.214 0.370 Li
0.786 0.118 0.630 Li
0.118 0.466 0.630 Li
0.665 0.665 0.004 Li
0.335 0.335 0.996 Li
0.882 0.534 0.370 Li
0.214 0.882 0.370 Li
0.466 0.786 0.630 Li
0.000 0.000 0.000 Np
0.404 0.083 0.763 Te
0.917 0.250 0.237 Te
0.250 0.596 0.237 Te
0.750 0.404 0.763 Te
0.083 0.750 0.763 Te
0.596 0.917 0.237 Te
```

***

Below is a relaxed structure of Hf3GeAs, with properties calculated at the GGA-PBE level.

Values from the calculation:
* calculated volume: 119 Å³/cell
* energy of formation: 0.312 eV/atom
* M_tot: 0.0 μB per formula unit
* excess energy over the best structure of this formula in the dataset: 934 meV/atom
* N(E_F): 4.9 states/eV/f.u.

The structure in POSCAR format:
```
Hf3GeAs
1.0
4.925 0.000 0.000
0.000 4.925 0.000
0.000 0.000 4.925
As Hf Ge
1 3 1
Direct
0.000 0.000 0.000 As
0.000 0.500 0.000 Hf
0.000 0.000 0.500 Hf
0.500 0.000 0.000 Hf
0.500 0.500 0.500 Ge
```

***

Below is a relaxed structure of NbAl2Sb, with properties calculated at the GGA-PBE level.

Values from the calculation:
* calculated volume: 165 Å³/cell
* M_tot: 0.0 μB per formula unit
* raw total energy: -5.05 eV/atom
* N(E_F): 3.1 states/eV/f.u.

The structure in POSCAR format:
```
NbAl2Sb
1.0
7.676 0.000 0.000
0.000 7.676 0.000
3.838 3.838 2.802
Sb Nb Al
2 2 4
Direct
0.000 0.000 0.000 Sb
0.750 0.250 0.500 Sb
0.500 0.500 0.000 Nb
0.250 0.750 0.500 Nb
0.622 0.125 0.250 Al
0.128 0.625 0.250 Al
0.375 0.378 0.750 Al
0.875 0.872 0.750 Al
```